[1]
## Nd2H4Ir (PBE-GGA)

Data for a relaxed Nd2H4Ir crystal.

CIF file:
```
data_Nd2H4Ir
_space_group_name_H-M_alt 'I 4/m m m'
_space_group_IT_number 139
_space_group_name_Hall '-I 4 2'
_cell_length_a 3.7300
_cell_length_b 3.7300
_cell_length_c 13.0320
_cell_angle_alpha 90.00
_cell_angle_beta 90.00
_cell_angle_gamma 90.00
loop_
_atom_site_label
_atom_site_type_symbol
_atom_site_fract_x
_atom_site_fract_y
_atom_site_fract_z
_atom_site_occupancy
Nd1 Nd 0.0000 0.0000 0.1464 1
H1 H 0.0000 0.0000 0.3620 1
H2 H 0.0000 0.5000 0.0000 1
Ir1 Ir 0.0000 0.0000 0.5000 1
```

* DOS(E_F): 9.72 states/eV/cell
* magnetization: 0.0 μB/f.u.
* crystal system: tetragonal
* calculated total energy: -4.9531 eV/atom

[2]
## Nd2HIr (PBE-GGA)

Data for a relaxed Nd2HIr crystal.

CIF file:
```
data_Nd2HIr
_space_group_name_H-M_alt 'C 1 2/m 1'
_space_group_IT_number 12
_cell_length_a 14.0653
_cell_length_b 3.8553
_cell_length_c 7.1463
_cell_angle_alpha 90.00
_cell_angle_beta 112.61
_cell_angle_gamma 90.00
loop_
_space_group_symop_operation_xyz
'x,y,z'
'-x,-y,-z'
'-x,y,-z'
'x,-y,z'
'x+1/2,y+1/2,z'
'-x+1/2,-y+1/2,-z'
'-x+1/2,y+1/2,-z'
'x+1/2,-y+1/2,z'
loop_
_atom_site_label
_atom_site_type_symbol
_atom_site_fract_x
_atom_site_fract_y
_atom_site_fract_z
_atom_site_occupancy
Nd1 Nd 0.0155 0.0000 0.2541 1
Nd2 Nd 0.2174 0.5000 0.7586 1
H1 H 0.1116 0.0000 0.6004 1
Ir1 Ir 0.1152 0.5000 0.0567 1
```

* DOS(E_F): 8.47 states/eV/cell
* polymorph energy (0 for the lowest one): 0.000 eV per formula unit
* magnetization: 0.0 μB/f.u.
* crystal system: monoclinic
* calculated total energy: -6.0058 eV/atom

[3]
## NdH3Ir (PBE-GGA)

Data for a relaxed NdH3Ir crystal.

CIF file:
```
data_NdH3Ir
_space_group_name_H-M_alt 'P m -3 m'
_space_group_IT_number 221
_space_group_name_Hall '-P 4 2 3'
_cell_length_a 3.7589
_cell_length_b 3.7589
_cell_length_c 3.7589
_cell_angle_alpha 90.00
_cell_angle_beta 90.00
_cell_angle_gamma 90.00
loop_
_atom_site_label
_atom_site_type_symbol
_atom_site_fract_x
_atom_site_fract_y
_atom_site_fract_z
_atom_site_occupancy
Nd1 Nd 0.0000 0.0000 0.0000 1
H1 H 0.0000 0.5000 0.5000 1
Ir1 Ir 0.5000 0.5000 0.5000 1
```

* DOS(E_F): 0.70 states/eV/cell
* magnetization: 0.0 μB/f.u.
* crystal system: cubic
* calculated total energy: -5.2251 eV/atom

[4]
## Nd12H5Ir3 (PBE-GGA)

Data for a relaxed Nd12H5Ir3 crystal.

CIF file:
```
data_Nd12H5Ir3
_space_group_name_H-M_alt 'I a -3 d'
_space_group_IT_number 230
_space_group_name_Hall '-I 4bd 2c 3'
_cell_length_a 15.6193
_cell_length_b 15.6193
_cell_length_c 15.6193
_cell_angle_alpha 90.00
_cell_angle_beta 90.00
_cell_angle_gamma 90.00
loop_
_atom_site_label
_atom_site_type_symbol
_atom_site_fract_x
_atom_site_fract_y
_atom_site_fract_z
_atom_site_occupancy
Nd1 Nd 0.0333 0.0628 0.6546 1
H1 H 0.0000 0.0000 0.0000 1
H2 H 0.0000 0.2500 0.3750 1
Ir1 Ir 0.0000 0.2500 0.1250 1
```

* DOS(E_F): 145.01 states/eV/cell
* magnetization: 0.0 μB/f.u.
* crystal system: cubic
* calculated total energy: -5.4104 eV/atom